{
  "formula": "AgSbP2C",
  "functional": "PBE-GGA",
  "state": "optimized geometry",
  "lattice": [[5.1378, 0.0000, 0.0000], [0.0000, 5.1378, 0.0000], [0.0000, 0.0000, 5.2073]],
  "species": ["Ag", "Sb", "P", "P", "C"],
  "frac_coords": [[0.0000, 0.0000, 0.0000], [0.0000, 0.0000, 0.5000], [0.0000, 0.5000, 0.5000], [0.5000, 0.0000, 0.5000], [0.5000, 0.5000, 0.0000]],
  "dos_at_fermi_per_ev_atom": 0.68,
  "e_tot_ev_per_cell": -15.5,
  "raw_formation_energy_ev_per_atom": 2.31,
  "m_tot_mub_per_atom": 0.08,
  "mass_density_g_cm3": 3.7
}